w:
A plane-wave DFT calculation with SCAN was carried out for As2RhW at its PBEsol-relaxed geometry.

Computed properties:
As for the space group: No. 44. As for the density of states at the Fermi level: 0.8366 states/eV per atom.

Cell: 5.3517 5.3517 5.3517 Å, 146.25 133.99 58.27°
Closest atoms and distances in Å follow each position.
Sites, in units of the cell vectors:
As: 0.0000 0.0000 0.0000  2 Rh 2.56, 4 W 2.61
As: 0.7266 0.2266 0.5000  4 Rh 2.61, 2 W 2.72
Rh: 0.2180 0.7180 0.5000  6 As 2.56-2.61
W: 0.4878 0.4878 0.0000  6 As 2.61-2.72

=====

x:
A plane-wave DFT calculation with SCAN was carried out for As2RhW at its PBEsol-relaxed geometry.

Computed properties:
As for the space group: No. 25. As for the density of states at the Fermi level: 0.5261 states/eV per atom.

Cell: 3.0058 4.6330 4.3449 Å, 90.00 90.00 90.00°
Closest atoms and distances in Å follow each position.
Sites, in units of the cell vectors:
As: 0.0000 0.0000 0.0000  2 Rh 2.56, 4 W 2.58-2.71
As: 0.5000 0.5000 0.2717  2 W 2.55, 4 Rh 2.56-2.72
Rh: 0.0000 0.5000 0.7488  6 As 2.56-2.72
W: 0.5000 0.0000 0.5184  6 As 2.55-2.71

=====

Which of them is the most stable? Correct choice: x.

=====

w:
A plane-wave DFT calculation with SCAN was carried out for ZnAsRh3 at its PBEsol-relaxed geometry.

Computed properties:
As for the space group: No. 221. As for the density of states at the Fermi level: 0.9811 states/eV per atom.

Cell: 4.4386 4.4386 4.4386 Å, 90.00 90.00 90.00°
Closest atoms and distances in Å follow each position.
Sites, in units of the cell vectors:
Zn: 0.0000 0.0000 0.0000  6 Rh 2.22
As: 0.5000 0.5000 0.5000  12 Rh 3.14
Rh: 0.0000 0.0000 0.5000  2 Zn 2.22
Rh: 0.0000 0.5000 0.0000  2 Zn 2.22
Rh: 0.5000 0.0000 0.0000  2 Zn 2.22

=====

x:
A plane-wave DFT calculation with SCAN was carried out for ZnAsRh3 at its PBEsol-relaxed geometry.

Computed properties:
As for the space group: No. 221. As for the density of states at the Fermi level: 0.3556 states/eV per atom.

Cell: 4.4402 4.4402 4.4402 Å, 90.00 90.00 90.00°
Closest atoms and distances in Å follow each position.
Sites, in units of the cell vectors:
Zn: 0.0000 0.0000 0.0000  12 Rh 3.14
As: 0.5000 0.5000 0.5000  6 Rh 2.22
Rh: 0.0000 0.5000 0.5000  2 As 2.22
Rh: 0.5000 0.0000 0.5000  2 As 2.22
Rh: 0.5000 0.5000 0.0000  2 As 2.22

=====

Which of them is the most stable? Correct choice: x.

=====

w:
A plane-wave DFT calculation with SCAN was carried out for ScAs2Ru at its PBEsol-relaxed geometry.

Computed properties:
As for the space group: No. 44. As for the density of states at the Fermi level: 0.4542 states/eV per atom.

Cell: 6.3280 6.3280 6.3280 Å, 151.57 145.76 45.08°
Closest atoms and distances in Å follow each position.
Sites, in units of the cell vectors:
Sc: 0.0000 0.0000 0.0000  6 As 2.67-2.71
As: 0.4049 0.4049 0.0000  2 Ru 2.47, 4 Sc 2.67
As: 0.6682 0.1682 0.5000  4 Ru 2.57, 2 Sc 2.71
Ru: 0.2408 0.7408 0.5000  6 As 2.47-2.57

=====

x:
A plane-wave DFT calculation with SCAN was carried out for ScAs2Ru at its PBEsol-relaxed geometry.

Computed properties:
As for the space group: No. 12. As for the density of states at the Fermi level: 0.6741 states/eV per atom.

Cell: 3.8364 3.8364 5.8062 Å, 109.56 109.56 60.32°
Closest atoms and distances in Å follow each position.
Sites, in units of the cell vectors:
Sc: 0.0000 0.0000 0.0000  6 As 2.70
As: 0.2377 0.2377 0.7136  3 Ru 2.50, 3 Sc 2.70
As: 0.7623 0.7623 0.2864  3 Ru 2.50, 3 Sc 2.70
Ru: 0.5000 0.5000 0.5000  6 As 2.50

=====

y:
A plane-wave DFT calculation with SCAN was carried out for ScAs2Ru at its PBEsol-relaxed geometry.

Computed properties:
As for the space group: No. 216. As for the density of states at the Fermi level: 0.5711 states/eV per atom.

Cell: 4.5142 4.5142 4.5142 Å, 60.00 60.00 60.00°
Closest atoms and distances in Å follow each position.
Sites, in units of the cell vectors:
Sc: 0.0000 0.0000 0.0000  4 As 2.76, 4 Ru 2.76
As: 0.2500 0.2500 0.2500  4 As 2.76, 4 Sc 2.76
As: 0.5000 0.5000 0.5000  4 As 2.76, 4 Ru 2.76
Ru: 0.7500 0.7500 0.7500  4 As 2.76, 4 Sc 2.76

=====

Which of them is the most stable? Correct choice: x.

=====

w:
A plane-wave DFT calculation with SCAN was carried out for SrAs2RuSe at its PBEsol-relaxed geometry.

Computed properties:
As for the space group: No. 123. As for the density of states at the Fermi level: 0.5794 states/eV per atom.

Cell: 4.6265 4.6265 5.5837 Å, 90.00 90.00 90.00°
Closest atoms and distances in Å follow each position.
Sites, in units of the cell vectors:
Sr: 0.0000 0.0000 0.0000  4 Se 3.27, 8 As 3.63
As: 0.0000 0.5000 0.5000  2 Ru 2.31
As: 0.5000 0.0000 0.5000  2 Ru 2.31
Ru: 0.5000 0.5000 0.5000  4 As 2.31
Se: 0.5000 0.5000 0.0000  2 Ru 2.79

=====

x:
A plane-wave DFT calculation with SCAN was carried out for SrAs2RuSe at its PBEsol-relaxed geometry.

Computed properties:
As for the space group: No. 123. As for the density of states at the Fermi level: 0.8748 states/eV per atom.

Cell: 5.3867 5.3867 5.4123 Å, 90.00 90.00 90.00°
Closest atoms and distances in Å follow each position.
Sites, in units of the cell vectors:
Sr: 0.0000 0.0000 0.0000  4 As 2.69, 2 Se 2.71
As: 0.0000 0.5000 0.0000  2 Sr 2.69
As: 0.5000 0.0000 0.0000  2 Sr 2.69
Ru: 0.5000 0.5000 0.5000  4 Se 3.81, 8 As 3.82
Se: 0.0000 0.0000 0.5000  2 Sr 2.71

=====

Which of them is the most stable? Correct choice: w.